## Dy2Al2GaRh5 (GGA-PBE)

Data for a relaxed structure of Dy2Al2GaRh5.

Calculated values
ΔE_f, eV per formula unit: -8.6
D(E_F), states/eV/cell: 9.64
Space group: P4/mbm, No. 127
Total magnetization, μB per formula unit: 0.00

Unit cell a=9.930 b=9.930 c=3.380 alpha=90.00 beta=90.00 gamma=90.00
Sites, in units of the cell vectors:
Dy 0.173 0.327 0.000
Dy 0.327 0.827 0.000
Dy 0.673 0.173 0.000
Dy 0.827 0.673 0.000
Al 0.126 0.626 0.000
Al 0.374 0.126 0.000
Al 0.626 0.874 0.000
Al 0.874 0.374 0.000
Ga 0.000 0.000 0.000
Ga 0.500 0.500 0.000
Rh 0.000 0.500 0.500
Rh 0.065 0.798 0.500
Rh 0.202 0.065 0.500
Rh 0.298 0.565 0.500
Rh 0.435 0.298 0.500
Rh 0.500 0.000 0.500
Rh 0.565 0.702 0.500
Rh 0.702 0.435 0.500
Rh 0.798 0.935 0.500
Rh 0.935 0.202 0.500